# PBE with a Hubbard U TbGd2Co2B2O3, optimized geometry
# Calculated total energy ... -137.8 eV for the cell shown
data_TbGd2Co2B2O3
_cell_length_a 3.422
_cell_length_b 3.422
_cell_length_c 21.706
_cell_angle_alpha 90.00
_cell_angle_beta 90.00
_cell_angle_gamma 90.00
_symmetry_space_group_name_H-M 'I 4/m m m'
_symmetry_Int_Tables_number 139
_symmetry_space_group_name_Hall '-I 4 2'
loop_
_atom_site_label
_atom_site_type_symbol
_atom_site_fract_x
_atom_site_fract_y
_atom_site_fract_z
_atom_site_occupancy
Tb1 Tb 0.000 0.000 0.000 1
Gd1 Gd 0.000 0.000 0.363 1
Co1 Co 0.000 0.500 0.250 1
B1 B 0.000 0.000 0.211 1
O1 O 0.000 0.000 0.103 1
O2 O 0.000 0.000 0.500 1